Compound: SrNdNi4O12
Source: the Alexandria database
Functional: PBE with a Hubbard U
Structure: relaxed

```
SrNdNi4O12
1.0
5.387 0.000 0.000
0.000 5.387 0.000
0.000 0.000 7.668
Sr Nd Ni O
1 1 4 12
Cartesian
0.000 0.000 0.000
2.693 2.693 3.834
0.000 2.693 1.908
0.000 2.693 5.760
2.693 0.000 1.908
2.693 0.000 5.760
0.000 2.693 0.000
0.000 2.693 3.834
1.394 1.394 2.007
1.394 1.394 5.661
1.394 3.993 2.007
1.394 3.993 5.661
2.693 0.000 0.000
2.693 0.000 3.834
3.993 1.394 2.007
3.993 1.394 5.661
3.993 3.993 2.007
3.993 3.993 5.661
```

calculated total energy	-89.9	eV/cell
space group	P4/mmm (123)
D(E_F)	0.721	states/eV/atom
calculated volume	12.36	Å³ per atom